VASP calculation (SCAN) on a PBEsol-optimized structure of Tl2HF.

a = 5.841 Å, b = 5.841 Å, c = 6.740 Å
α = 115.68°, β = 115.68°, γ = 90.00°
Fractional positions:
F1 0.250 0.750 0.500
F2 0.000 0.000 0.000
Tl1 0.625 0.594 0.750
Tl2 0.844 0.375 0.250
Tl3 0.125 0.156 0.750
Tl4 0.406 0.875 0.250
H1 0.750 0.250 0.500
H2 0.500 0.500 0.000

Values from the calculation:
Space group: I-42d (122)
Size of the total moment in μB/atom: 0.000
ρ in g/cm3: 7.837
Final energy in eV/f.u.: -154.046